This record from Alexandria describes LaYSe2O after structural relaxation. The functional is PBE.

The value obtained for the density of states at the Fermi level is 0.9 states/eV/f.u. The total energy is -7.131 eV per atom. The calculation puts the raw formation energy at -1190 kJ/mol of formula units.

The structure belongs to space group P4/nmm (No. 129, origin choice 2); the cell edges are 4.0977, 4.0977 and 14.6145 Å and the angles 90.00°, 90.00° and 90.00°. Symmetry generates all atoms from La at (0.2500, 0.2500, 0.0839), Y at (0.2500, 0.2500, 0.6217), Se at (0.2500, 0.2500, 0.4106), Se at (0.2500, 0.2500, 0.8015) and O at (0.2500, 0.7500, 0.0000).